Version i
VASP calculation (PBE-GGA) on RbSrBi2 after structural relaxation.

calculated density	6.429	g/cm³

Cell lengths 5.9990, 5.9990, 5.9990 Å; angles 60.00, 60.00, 60.00 degrees
Last column: nearest neighbours and their distance in Å.
Atoms (fractional coordinates):
Rb1 0.0000 0.0000 0.0000  8 Bi 3.67
Sr1 0.5000 0.5000 0.5000  8 Bi 3.67
Bi1 0.2500 0.2500 0.2500  4 Sr 3.67, 4 Rb 3.67
Bi2 0.7500 0.7500 0.7500  4 Sr 3.67, 4 Rb 3.67



Version ii
VASP calculation (PBE-GGA) on RbSrBi2 after structural relaxation.

calculated density	4.830	g/cm³

Cell lengths 6.0262, 6.0262, 11.9744 Å; angles 75.43, 75.43, 90.00 degrees
Last column: nearest neighbours and their distance in Å.
Atoms (fractional coordinates):
Bi1 0.3750 0.2542 0.7500  2 Sr 3.27, 2 Bi 3.39
Rb1 0.5000 0.5000 0.0000  4 Bi 3.88, 4 Sr 4.26
Bi2 0.8750 0.9958 0.7500  2 Sr 3.27, 2 Bi 3.39
Bi3 0.7458 0.1250 0.2500  2 Sr 3.27, 2 Bi 3.39
Sr1 0.0000 0.0000 0.0000  4 Bi 3.27
Sr2 0.7500 0.2500 0.5000  4 Bi 3.27
Bi4 0.0042 0.6250 0.2500  2 Sr 3.27, 2 Bi 3.39
Rb2 0.2500 0.7500 0.5000  4 Bi 3.88, 4 Sr 4.26



Relative stability in eV/atom, measured from the most stable structure: version i 0.000; version ii 0.092



Version i
VASP calculation (PBE-GGA) on RbSrBi2 after structural relaxation.

calculated density	5.921	g/cm³

Cell lengths 4.5426, 4.5426, 8.0324 Å; angles 90.00, 90.00, 90.00 degrees
Last column: nearest neighbours and their distance in Å.
Atoms (fractional coordinates):
Rb1 0.5000 0.5000 0.5000  2 Sr 4.02, 8 Bi 4.07
Bi1 0.0000 0.0000 0.8120  1 Bi 3.02
Bi2 0.0000 0.0000 0.1880  1 Bi 3.02
Sr1 0.5000 0.5000 0.0000  8 Bi 3.55



Version ii
VASP calculation (PBE-GGA) on RbSrBi2 after structural relaxation.

calculated density	6.719	g/cm³

Cell lengths 5.1008, 5.3514, 5.3514 Å; angles 90.00, 90.00, 90.00 degrees
Last column: nearest neighbours and their distance in Å.
Atoms (fractional coordinates):
Bi1 0.0000 0.0000 0.5000  4 Sr 3.70, 4 Rb 3.70, 4 Bi 3.78
Sr1 0.5000 0.5000 0.5000  8 Bi 3.70, 4 Rb 3.78
Bi2 0.0000 0.5000 0.0000  4 Sr 3.70, 4 Rb 3.70, 4 Bi 3.78
Rb1 0.5000 0.0000 0.0000  8 Bi 3.70, 4 Sr 3.78



Relative stability in eV/atom, measured from the most stable structure: version i 0.000; version ii 0.109



Version i
VASP calculation (PBE-GGA) on RbTa3Bi after structural relaxation.

calculated density	9.076	g/cm³

Cell lengths 5.3507, 5.3507, 5.3507 Å; angles 90.00, 90.00, 90.00 degrees
Last column: nearest neighbours and their distance in Å.
Atoms (fractional coordinates):
Ta1 0.0000 0.0000 0.5000  2 Bi 2.68
Bi1 0.0000 0.0000 0.0000  6 Ta 2.68
Ta2 0.0000 0.5000 0.0000  2 Bi 2.68
Ta3 0.5000 0.0000 0.0000  2 Bi 2.68
Rb1 0.5000 0.5000 0.5000  12 Ta 3.78



Version ii
VASP calculation (PBE-GGA) on RbTa3Bi after structural relaxation.

calculated density	11.692	g/cm³

Cell lengths 4.9176, 4.9176, 4.9176 Å; angles 90.00, 90.00, 90.00 degrees
Last column: nearest neighbours and their distance in Å.
Atoms (fractional coordinates):
Ta1 0.0000 0.0000 0.5000  2 Rb 2.46
Ta2 0.0000 0.5000 0.0000  2 Rb 2.46
Rb1 0.0000 0.0000 0.0000  6 Ta 2.46
Bi1 0.5000 0.5000 0.5000  12 Ta 3.48
Ta3 0.5000 0.0000 0.0000  2 Rb 2.46



Relative stability in eV/atom, measured from the most stable structure: version i 0.000; version ii 0.612



Version i
VASP calculation (PBE-GGA) on RbTc3Bi after structural relaxation.

calculated density	6.744	g/cm³

Cell lengths 5.2523, 5.2523, 5.2523 Å; angles 90.00, 90.00, 90.00 degrees
Last column: nearest neighbours and their distance in Å.
Atoms (fractional coordinates):
Tc1 0.0000 0.5000 0.0000  2 Bi 2.63
Rb1 0.5000 0.5000 0.5000  12 Tc 3.71
Bi1 0.0000 0.0000 0.0000  6 Tc 2.63
Tc2 0.5000 0.0000 0.0000  2 Bi 2.63
Tc3 0.0000 0.0000 0.5000  2 Bi 2.63



Version ii
VASP calculation (PBE-GGA) on RbTc3Bi after structural relaxation.

calculated density	8.391	g/cm³

Cell lengths 4.8833, 4.8833, 4.8833 Å; angles 90.00, 90.00, 90.00 degrees
Last column: nearest neighbours and their distance in Å.
Atoms (fractional coordinates):
Tc1 0.0000 0.0000 0.5000  2 Rb 2.44
Rb1 0.0000 0.0000 0.0000  6 Tc 2.44
Tc2 0.5000 0.0000 0.0000  2 Rb 2.44
Tc3 0.0000 0.5000 0.0000  2 Rb 2.44
Bi1 0.5000 0.5000 0.5000  12 Tc 3.45



Relative stability in eV/atom, measured from the most stable structure: version i 0.000; version ii 0.898



Version i
VASP calculation (PBE-GGA) on RbTcBi after structural relaxation.

calculated density	6.311	g/cm³

Cell lengths 3.6904, 7.1651, 8.3061 Å; angles 76.66, 89.08, 75.30 degrees
Last column: nearest neighbours and their distance in Å.
Atoms (fractional coordinates):
Tc1 0.8798 0.2247 0.5223  2 Tc 2.33-2.34
Tc2 0.3194 0.3611 0.3628  2 Tc 2.33-2.34
Rb1 0.6681 0.7942 0.9434  2 Rb 3.69, 4 Bi 3.96-4.08
Rb2 0.5979 0.7928 0.4434  2 Rb 3.69, 6 Tc 3.70-3.84, 4 Bi 3.81-3.84
Bi1 0.3025 0.3677 0.7360  3 Tc 2.89-3.11
Bi2 0.9020 0.2171 0.1496  3 Tc 2.88-3.11



Version ii
VASP calculation (PBE-GGA) on RbTcBi after structural relaxation.

calculated density	6.121	g/cm³

Cell lengths 6.9876, 3.6427, 17.4002 Å; angles 90.00, 105.95, 90.00 degrees
Last column: nearest neighbours and their distance in Å.
Atoms (fractional coordinates):
Bi1 0.3238 0.5000 0.6013  3 Tc 2.90-2.98
Rb1 0.1778 0.0000 0.3924  2 Rb 3.64, 6 Bi 3.90-3.98, 3 Tc 3.91-4.00
Tc1 0.6074 0.0000 0.2644  2 Tc 2.33
Tc2 0.3926 0.0000 0.7356  2 Tc 2.33
Bi2 0.3238 0.0000 0.1013  3 Tc 2.90-2.98
Rb2 0.8222 0.5000 0.1076  2 Rb 3.64, 6 Bi 3.90-3.98, 3 Tc 3.91-4.00
Tc3 0.3926 0.5000 0.2356  2 Tc 2.33
Rb3 0.1778 0.5000 0.8924  2 Rb 3.64, 6 Bi 3.90-3.98, 3 Tc 3.91-4.00
Rb4 0.8222 0.0000 0.6076  2 Rb 3.64, 6 Bi 3.90-3.98, 3 Tc 3.91-4.00
Bi3 0.6762 0.5000 0.3987  3 Tc 2.90-2.98
Tc4 0.6074 0.5000 0.7644  2 Tc 2.33
Bi4 0.6762 0.0000 0.8987  3 Tc 2.90-2.98



Version iii
VASP calculation (PBE-GGA) on RbTcBi after structural relaxation.

calculated density	6.177	g/cm³

Cell lengths 6.7671, 4.3829, 14.7538 Å; angles 90.00, 105.33, 90.00 degrees
Last column: nearest neighbours and their distance in Å.
Atoms (fractional coordinates):
Tc1 0.4551 0.5000 0.2164  2 Tc 2.42
Tc2 0.5449 0.0000 0.2836  2 Tc 2.42
Rb1 0.8758 0.0000 0.6183  2 Tc 3.52-3.80, 2 Bi 3.77
Bi1 0.3595 0.5000 0.5898  3 Tc 2.80-2.84
Bi2 0.6405 0.0000 0.9102  3 Tc 2.80-2.84
Rb2 0.1242 0.0000 0.3817  2 Tc 3.52-3.80, 2 Bi 3.77
Rb3 0.8758 0.5000 0.1183  2 Tc 3.52-3.80, 2 Bi 3.77
Bi3 0.3595 0.0000 0.0898  3 Tc 2.80-2.84
Rb4 0.1242 0.5000 0.8817  2 Tc 3.52-3.80, 2 Bi 3.77
Tc3 0.4551 0.0000 0.7164  2 Tc 2.42
Bi4 0.6405 0.5000 0.4102  3 Tc 2.80-2.84
Tc4 0.5449 0.5000 0.7836  2 Tc 2.42



Version iv
VASP calculation (PBE-GGA) on RbTcBi after structural relaxation.

calculated density	6.049	g/cm³

Cell lengths 4.0358, 4.1723, 12.8224 Å; angles 90.31, 93.65, 89.99 degrees
Last column: nearest neighbours and their distance in Å.
Atoms (fractional coordinates):
Bi1 0.8316 0.2474 0.3515  4 Tc 2.73-2.90
Rb1 0.2872 0.7444 0.1746  4 Bi 3.66-3.70, 2 Rb 4.04
Bi2 0.1684 0.7526 0.6485  4 Tc 2.73-2.90
Tc1 0.3356 0.2502 0.5040  2 Tc 2.48, 1 Bi 2.73
Rb2 0.7128 0.2556 0.8254  4 Bi 3.66-3.70, 2 Rb 4.04
Tc2 0.6644 0.7498 0.4960  2 Tc 2.48, 1 Bi 2.73



Relative stability in eV/atom, measured from the most stable structure: version i 0.220; version ii 0.163; version iii 0.182; version iv 0.000



Version i
VASP calculation (PBE-GGA) on RbTcBi after structural relaxation.

calculated density	6.041	g/cm³

Cell lengths 13.0614, 4.3779, 7.5464 Å; angles 90.00, 90.65, 90.00 degrees
Last column: nearest neighbours and their distance in Å.
Atoms (fractional coordinates):
Bi1 0.3699 0.0000 0.4985  6 Tc 2.96-3.13
Bi2 0.3699 0.5000 0.9985  6 Tc 2.96-3.13
Rb1 0.1682 0.5000 0.3291  3 Bi 3.65
Tc1 0.4888 0.0000 0.1670  3 Tc 2.54
Rb2 0.8318 0.5000 0.6709  3 Bi 3.65
Tc2 0.5112 0.5000 0.3330  3 Tc 2.54
Rb3 0.8318 0.0000 0.1709  3 Bi 3.65
Tc3 0.5112 0.0000 0.8330  3 Tc 2.54
Bi3 0.6301 0.5000 0.0015  6 Tc 2.96-3.13
Bi4 0.6301 0.0000 0.5015  6 Tc 2.96-3.13
Tc4 0.4888 0.5000 0.6670  3 Tc 2.54
Rb4 0.1682 0.0000 0.8291  3 Bi 3.65



Version ii
VASP calculation (PBE-GGA) on RbTcBi after structural relaxation.

calculated density	6.778	g/cm³

Cell lengths 3.2880, 4.4162, 6.6212 Å; angles 90.00, 90.25, 90.00 degrees
Last column: nearest neighbours and their distance in Å.
Atoms (fractional coordinates):
Rb1 0.5000 0.0000 0.5000  2 Rb 3.29
Tc1 0.0000 0.0000 0.0000  4 Bi 2.75
Bi1 0.5000 0.5000 0.0000  4 Tc 2.75



Relative stability in eV/atom, measured from the most stable structure: version i 0.000; version ii 0.536